Entry 1:
TcSbTe3 | PBE | relaxed

Calculated values
E = -4.29 eV/atom
Formation energy without anion corrections = 0.49 eV/atom
Total moment = 0.00 μB/cell
SG = Pm-3m (221)
Mass density = 7.03 g cm⁻³
Energy above the most stable polymorph in this dataset = 0 meV per atom

abc: 5.220 5.220 5.220
angles: 90.00 90.00 90.00
Fractional coordinates of all 5 atoms:
Tc  0.000  0.000  0.000
Sb  0.500  0.500  0.500
Te  0.000  0.000  0.500
Te  0.000  0.500  0.000
Te  0.500  0.000  0.000


Entry 2:
TcSbTe4 | PBE | relaxed

Calculated values
E = -3.45 eV/atom
Formation energy without anion corrections = 1.06 eV/atom
Total moment = 3.93 μB/cell
SG = F-43m (216)
Mass density = 6.95 g cm⁻³

abc: 6.273 6.273 6.273
angles: 60.00 60.00 60.00
Fractional coordinates of all 6 atoms:
Tc  0.000  0.000  0.000
Sb  0.250  0.250  0.250
Te  0.124  0.625  0.625
Te  0.625  0.124  0.625
Te  0.625  0.625  0.124
Te  0.625  0.625  0.625


Entry 3:
TcSb3Te | PBE | relaxed

Calculated values
E = -4.86 eV/atom
Formation energy without anion corrections = 0.31 eV/atom
Total moment = 0.00 μB/cell
SG = Pm-3m (221)
Mass density = 7.09 g cm⁻³
Energy above the most stable polymorph in this dataset = 0 meV per atom

abc: 5.173 5.173 5.173
angles: 90.00 90.00 90.00
Fractional coordinates of all 5 atoms:
Tc  0.000  0.000  0.000
Sb  0.000  0.000  0.500
Sb  0.000  0.500  0.000
Sb  0.500  0.000  0.000
Te  0.500  0.500  0.500


Entry 4:
TiTcSbTe2 | PBE | relaxed

Calculated values
E = -4.94 eV/atom
Formation energy without anion corrections = 0.79 eV/atom
Total moment = 0.83 μB/cell
SG = P4/mmm (123)
Mass density = 6.17 g cm⁻³
Energy above the most stable polymorph in this dataset = 0 meV per atom

abc: 5.287 5.287 5.037
angles: 90.00 90.00 90.00
Fractional coordinates of all 5 atoms:
Ti  0.000  0.000  0.000
Tc  0.500  0.500  0.500
Sb  0.500  0.500  0.000
Te  0.000  0.500  0.500
Te  0.500  0.000  0.500


Entry 5:
TiTcSb2Te | PBE | relaxed

Calculated values
E = -5.19 eV/atom
Formation energy without anion corrections = 0.74 eV/atom
Total moment = 2.76 μB/cell
SG = P4/mmm (123)
Mass density = 5.99 g cm⁻³
Energy above the most stable polymorph in this dataset = 0 meV per atom

abc: 5.013 5.013 5.705
angles: 90.00 90.00 90.00
Fractional coordinates of all 5 atoms:
Ti  0.000  0.000  0.000
Tc  0.500  0.500  0.500
Sb  0.000  0.500  0.500
Sb  0.500  0.000  0.500
Te  0.500  0.500  0.000


Entry 6:
TlTcSb2Te | PBE | relaxed

Calculated values
E = -4.49 eV/atom
Formation energy without anion corrections = 0.34 eV/atom
Total moment = 0.17 μB/cell
SG = P4/mmm (123)
Mass density = 7.34 g cm⁻³
Energy above the most stable polymorph in this dataset = 0 meV per atom

abc: 5.089 5.089 5.888
angles: 90.00 90.00 90.00
Fractional coordinates of all 5 atoms:
Tl  0.000  0.000  0.000
Tc  0.500  0.500  0.500
Sb  0.000  0.500  0.500
Sb  0.500  0.000  0.500
Te  0.500  0.500  0.000


Entry 7:
TlTcSbTe2 | PBE | relaxed

Calculated values
E = -4.30 eV/atom
Formation energy without anion corrections = 0.32 eV/atom
Total moment = 0.00 μB/cell
SG = P4/mmm (123)
Mass density = 7.49 g cm⁻³
Energy above the most stable polymorph in this dataset = 0 meV per atom

abc: 5.418 5.418 5.132
angles: 90.00 90.00 90.00
Fractional coordinates of all 5 atoms:
Tl  0.000  0.000  0.000
Tc  0.500  0.500  0.500
Sb  0.500  0.500  0.000
Te  0.000  0.500  0.500
Te  0.500  0.000  0.500


Entry 8:
VTcSb2Te | PBE | relaxed

Calculated values
E = -5.17 eV/atom
Formation energy without anion corrections = 1.01 eV/atom
Total moment = 4.23 μB/cell
SG = P4/mmm (123)
Mass density = 6.43 g cm⁻³
Energy above the most stable polymorph in this dataset = 0 meV per atom

abc: 5.128 5.128 5.104
angles: 90.00 90.00 90.00
Fractional coordinates of all 5 atoms:
V  0.000  0.000  0.000
Tc  0.500  0.500  0.500
Sb  0.000  0.500  0.000
Sb  0.500  0.000  0.000
Te  0.000  0.000  0.500


| no. | volume (A^3/atom) |
| --- | --- |
| 1 | 28.45 |
| 2 | 29.09 |
| 3 | 27.69 |
| 4 | 28.15 |
| 5 | 28.67 |
| 6 | 30.49 |
| 7 | 30.13 |
| 8 | 26.85 |